Entry 1:
Crystalline VHgPb2 at its relaxed geometry, computed with PBE-GGA.

- Formation energy from the elements: 548.7 meV/atom

```
data_VHgPb2
_chemical_formula_sum 'V4 Hg4 Pb8'
_symmetry_space_group_name_H-M 'I -4 2 d'
_symmetry_Int_Tables_number 122
_symmetry_space_group_name_Hall 'I -4 2bw'
_cell_length_a 4.5032
_cell_length_b 4.5032
_cell_length_c 21.1530
_cell_angle_alpha 90.00
_cell_angle_beta 90.00
_cell_angle_gamma 90.00
loop_
_atom_site_label
_atom_site_type_symbol
_atom_site_fract_x
_atom_site_fract_y
_atom_site_fract_z
V1 V 0.0000 0.0000 0.0000
Hg1 Hg 0.0000 0.0000 0.5000
Pb1 Pb 0.2446 0.2500 0.1250
```

Entry 2:
Crystalline HgTe2OsN at its relaxed geometry, computed with PBE-GGA.

- ΔE to the lowest computed polymorph: 0 meV/atom
- Raw formation energy: 0.344 eV per atom

```
data_HgTe2OsN
_chemical_formula_sum 'Hg1 Te2 Os1 N1'
_symmetry_space_group_name_H-M 'P 4/m m m'
_symmetry_Int_Tables_number 123
_symmetry_space_group_name_Hall '-P 4 2'
_cell_length_a 5.5738
_cell_length_b 5.5738
_cell_length_c 3.6814
_cell_angle_alpha 90.00
_cell_angle_beta 90.00
_cell_angle_gamma 90.00
loop_
_atom_site_label
_atom_site_type_symbol
_atom_site_fract_x
_atom_site_fract_y
_atom_site_fract_z
Hg1 Hg 0.0000 0.0000 0.0000
Te1 Te 0.0000 0.5000 0.5000
Os1 Os 0.5000 0.5000 0.5000
N1 N 0.5000 0.5000 0.0000
```

| no. | E_tot (eV per cell) |
| --- | --- |
| 1 | -58.6 |
| 2 | -24.4 |